Below is Zr2VCdC after structural relaxation, with properties calculated at the PBE level.

Output
Total energy in eV/atom: -7.589
Formation energy from the elements in eV/atom: -0.3178
Space-group type: P4/mmm (123)

```
data_Zr2VCdC
_chemical_formula_sum 'Zr2 V1 Cd1 C1'
_symmetry_space_group_name_H-M 'P 1'
_symmetry_Int_Tables_number 1
_cell_length_a 4.631
_cell_length_b 4.631
_cell_length_c 4.040
_cell_angle_alpha 90.00
_cell_angle_beta 90.00
_cell_angle_gamma 90.00
loop_
_symmetry_equiv_pos_as_xyz
'x,y,z'
loop_
_atom_site_label
_atom_site_type_symbol
_atom_site_fract_x
_atom_site_fract_y
_atom_site_fract_z
V1 V 0.000 0.000 0.500
Cd1 Cd 0.500 0.500 0.500
Zr1 Zr 0.000 0.500 0.000
Zr2 Zr 0.500 0.000 0.000
C1 C 0.000 0.000 0.000
```

=====

Below is Cd3WC after structural relaxation, with properties calculated at the PBE level.

Output
Total energy in eV/atom: -2.518
Formation energy from the elements in eV/atom: 2.4664
Polymorph energy (0 for the lowest one) in eV per formula unit: 4.175
Space-group type: Pm-3m (221)

```
data_Cd3WC
_chemical_formula_sum 'Cd3 W1 C1'
_symmetry_space_group_name_H-M 'P 1'
_symmetry_Int_Tables_number 1
_cell_length_a 5.494
_cell_length_b 5.494
_cell_length_c 5.494
_cell_angle_alpha 90.00
_cell_angle_beta 90.00
_cell_angle_gamma 90.00
loop_
_symmetry_equiv_pos_as_xyz
'x,y,z'
loop_
_atom_site_label
_atom_site_type_symbol
_atom_site_fract_x
_atom_site_fract_y
_atom_site_fract_z
C1 C 0.500 0.500 0.500
Cd1 Cd 0.000 0.500 0.000
Cd2 Cd 0.000 0.000 0.500
Cd3 Cd 0.500 0.000 0.000
W1 W 0.000 0.000 0.000
```

=====

Below is CdW3C after structural relaxation, with properties calculated at the PBE level.

Output
Total energy in eV/atom: -9.314
Formation energy from the elements in eV/atom: 0.4855
Polymorph energy (0 for the lowest one) in eV per formula unit: 0.000
Space-group type: Pm-3m (221)

```
data_CdW3C
_chemical_formula_sum 'Cd1 W3 C1'
_symmetry_space_group_name_H-M 'P 1'
_symmetry_Int_Tables_number 1
_cell_length_a 4.218
_cell_length_b 4.218
_cell_length_c 4.218
_cell_angle_alpha 90.00
_cell_angle_beta 90.00
_cell_angle_gamma 90.00
loop_
_symmetry_equiv_pos_as_xyz
'x,y,z'
loop_
_atom_site_label
_atom_site_type_symbol
_atom_site_fract_x
_atom_site_fract_y
_atom_site_fract_z
C1 C 0.000 0.000 0.000
Cd1 Cd 0.500 0.500 0.500
W1 W 0.000 0.000 0.500
W2 W 0.500 0.000 0.000
W3 W 0.000 0.500 0.000
```

=====

Look up the total energy of the third one.
-9.314 eV/atom